The following is a GGA-PBE calculation of crystalline AcPmCuRh at its relaxed geometry, from Alexandria via LeMat-Bulk.

Results
Density of states at the Fermi level: 2.85 states/eV/f.u.
Energy of formation: -1.74 eV per formula unit
Theoretical density: 8.9 g/cm3

abc: 4.5556 4.0386 10.9054
angles: 90.00 90.00 90.00
Closest atoms and distances in Å follow each position.
Space group Amm2 (No. 38)
Symmetry-distinct sites (fractional):
Ac1 0.0000 0.0000 0.0000 [2 per cell]  3 Rh 3.01-3.17, 4 Cu 3.14
Pm1 0.5000 0.0000 0.7248 [2 per cell]  3 Cu 3.00-3.24, 4 Rh 3.09
Cu1 0.5000 0.0000 0.4279 [2 per cell]  2 Rh 2.82, 2 Pm 3.00, 4 Ac 3.14
Rh1 0.0000 0.0000 0.2757 [2 per cell]  2 Cu 2.82, 1 Ac 3.01, 4 Pm 3.09

---

The following is a GGA-PBE calculation of crystalline AcPmCuRh at its relaxed geometry, from Alexandria via LeMat-Bulk.

Results
Density of states at the Fermi level: 4.03 states/eV/f.u.
Energy of formation: -1.42 eV per formula unit
Theoretical density: 9.2 g/cm3

abc: 7.3034 7.3034 7.3034
angles: 90.00 90.00 90.00
Closest atoms and distances in Å follow each position.
Space group F-43m (No. 216)
Symmetry-distinct sites (fractional):
Ac1 0.0000 0.0000 0.0000 [4 per cell]  4 Cu 3.16, 4 Rh 3.16
Pm1 0.0000 0.0000 0.5000 [4 per cell]  4 Cu 3.16, 4 Rh 3.16
Cu1 0.2500 0.2500 0.2500 [4 per cell]  4 Ac 3.16, 4 Pm 3.16
Rh1 0.2500 0.2500 0.7500 [4 per cell]  4 Ac 3.16, 4 Pm 3.16

---

The following is a GGA-PBE calculation of crystalline AcPmCuRu at its relaxed geometry, from Alexandria via LeMat-Bulk.

Results
Density of states at the Fermi level: 2.92 states/eV/f.u.
Energy of formation: -0.60 eV per formula unit
Theoretical density: 9.0 g/cm3

abc: 4.3406 4.1234 11.1000
angles: 90.00 90.00 90.00
Closest atoms and distances in Å follow each position.
Space group Amm2 (No. 38)
Symmetry-distinct sites (fractional):
Ac1 0.0000 0.0000 0.0000 [2 per cell]  3 Ru 3.08-3.22, 4 Cu 3.12
Pm1 0.5000 0.0000 0.2796 [2 per cell]  3 Cu 3.02-3.34, 4 Ru 3.06
Cu1 0.5000 0.0000 0.5802 [2 per cell]  2 Ru 2.69
Ru1 0.0000 0.0000 0.7228 [2 per cell]  2 Cu 2.69